Compound: BaTaCr
Source: Alexandria
Functional: PBE
Structure: relaxed

abc: 8.0541 7.8393 3.1216
angles: 82.57 74.83 22.60
Fractional positions:
Ba: 0.0000 0.0000 0.0000
Ta: 0.7083 0.7083 0.2917
Cr: 0.3158 0.3158 0.6842

Summary:
- Total moment: 0.87 μB/f.u.
- Space-group type: No. 42
- Energy: -20.3 eV for the cell shown
- Fermi-level density of states: 4.2 states/eV/f.u.



Compound: Ac2PrNd5Dy
Source: Alexandria
Functional: PBE
Structure: relaxed

abc: 10.8063 10.8063 11.0037
angles: 90.00 90.00 148.41
Fractional positions:
Ac: 0.1143 0.8857 0.5000
Ac: 0.1171 0.8829 0.0864
Ac: 0.8829 0.1171 0.5864
Ac: 0.8857 0.1143 0.0000
Pr: 0.4099 0.5901 0.2337
Pr: 0.5901 0.4099 0.7337
Nd: 0.0184 0.9816 0.7900
Nd: 0.2813 0.7187 0.0821
Nd: 0.2948 0.7052 0.4732
Nd: 0.3869 0.6131 0.7887
Nd: 0.4834 0.5166 0.5109
Nd: 0.5166 0.4834 0.0109
Nd: 0.6131 0.3869 0.2887
Nd: 0.7052 0.2948 0.9732
Nd: 0.7187 0.2813 0.5821
Nd: 0.9816 0.0184 0.2900
Dy: 0.2060 0.7940 0.7784
Dy: 0.7940 0.2060 0.2784

Summary:
- Total moment: 0.00 μB/f.u.
- Space-group type: No. 36
- Energy: -80.5 eV for the cell shown
- Fermi-level density of states: 12.6 states/eV/f.u.



Compound: Sm6P4Pb
Source: Alexandria
Functional: PBE
Structure: relaxed

abc: 7.1086 7.1086 21.0989
angles: 90.00 90.00 146.19
Fractional positions:
Sm: 0.0000 0.0000 0.0000
Sm: 0.0000 0.0000 0.5000
Sm: 0.1608 0.8392 0.7500
Sm: 0.2725 0.7275 0.0809
Sm: 0.2725 0.7275 0.4191
Sm: 0.4607 0.5393 0.6567
Sm: 0.4607 0.5393 0.8433
Sm: 0.5393 0.4607 0.1567
Sm: 0.5393 0.4607 0.3433
Sm: 0.7275 0.2725 0.5809
Sm: 0.7275 0.2725 0.9191
Sm: 0.8392 0.1608 0.2500
P: 0.0923 0.9077 0.6239
P: 0.0923 0.9077 0.8761
P: 0.3625 0.6375 0.5410
P: 0.3625 0.6375 0.9590
P: 0.6375 0.3625 0.0410
P: 0.6375 0.3625 0.4590
P: 0.9077 0.0923 0.1239
P: 0.9077 0.0923 0.3761
Pb: 0.1619 0.8381 0.2500
Pb: 0.8381 0.1619 0.7500

Summary:
- Total moment: 0.83 μB/f.u.
- Space-group type: No. 63
- Energy: -136.0 eV for the cell shown
- Fermi-level density of states: 3.3 states/eV/f.u.



Compound: Dy6P2AuSe3
Source: Alexandria
Functional: PBE
Structure: relaxed

abc: 9.1318 9.1318 8.2451
angles: 103.07 103.07 25.48
Fractional positions:
Dy: 0.0056 0.0056 0.2533
Dy: 0.3279 0.3279 0.4270
Dy: 0.3313 0.3313 0.9000
Dy: 0.6687 0.6687 0.1000
Dy: 0.6721 0.6721 0.5730
Dy: 0.9944 0.9944 0.7467
P: 0.1675 0.1675 0.3362
P: 0.8325 0.8325 0.6637
Au: 0.5000 0.5000 0.0000
Se: 0.1666 0.1666 0.8326
Se: 0.5000 0.5000 0.5000
Se: 0.8334 0.8334 0.1674

Summary:
- Total moment: 0.00 μB/f.u.
- Space-group type: No. 12
- Energy: -71.3 eV for the cell shown
- Fermi-level density of states: 4.4 states/eV/f.u.



Compound: LaTlC
Source: Alexandria
Functional: PBE
Structure: relaxed

abc: 4.7342 4.7342 8.9525
angles: 108.97 108.97 51.59
Fractional positions:
La: 0.0893 0.0893 0.3358
La: 0.9107 0.9107 0.6642
Tl: 0.3174 0.3174 0.9197
Tl: 0.6826 0.6826 0.0803
C: 0.4165 0.4165 0.4684
C: 0.5835 0.5835 0.5316

Summary:
- Total moment: 0.00 μB/f.u.
- Space-group type: No. 12
- Energy: -34.2 eV for the cell shown
- Fermi-level density of states: 1.8 states/eV/f.u.



Compound: TbPm5Cd3
Source: Alexandria
Functional: PBE
Structure: relaxed

abc: 9.3989 9.3989 7.0395
angles: 90.00 90.00 120.00
Fractional positions:
Tb: 0.0000 0.0000 0.0000
Tb: 0.0000 0.0000 0.5000
Pm: 0.0000 0.3344 0.2500
Pm: 0.0000 0.6656 0.7500
Pm: 0.3333 0.6667 0.0000
Pm: 0.3333 0.6667 0.5000
Pm: 0.3344 0.0000 0.2500
Pm: 0.3344 0.3344 0.7500
Pm: 0.6656 0.0000 0.7500
Pm: 0.6656 0.6656 0.2500
Pm: 0.6667 0.3333 0.0000
Pm: 0.6667 0.3333 0.5000
Cd: 0.0000 0.3297 0.7500
Cd: 0.0000 0.6703 0.2500
Cd: 0.3297 0.0000 0.7500
Cd: 0.3297 0.3297 0.2500
Cd: 0.6703 0.0000 0.2500
Cd: 0.6703 0.6703 0.7500

Summary:
- Total moment: 0.00 μB/f.u.
- Space-group type: No. 193
- Energy: -65.4 eV for the cell shown
- Fermi-level density of states: 8.9 states/eV/f.u.



Compound: TbZrS3
Source: Alexandria
Functional: PBE
Structure: relaxed

abc: 7.0243 3.7504 15.3280
angles: 90.00 90.00 90.00
Fractional positions:
Tb: 0.1231 0.2500 0.1931
Tb: 0.3769 0.7500 0.6931
Tb: 0.6231 0.2500 0.3069
Tb: 0.8769 0.7500 0.8069
Zr: 0.2366 0.7500 0.4561
Zr: 0.2634 0.2500 0.9561
Zr: 0.7366 0.7500 0.0439
Zr: 0.7634 0.2500 0.5439
S: 0.0004 0.2500 0.4024
S: 0.9996 0.7500 0.5976
S: 0.1175 0.7500 0.0615
S: 0.1703 0.2500 0.7860
S: 0.3297 0.7500 0.2860
S: 0.3825 0.2500 0.5615
S: 0.5004 0.2500 0.0976
S: 0.4996 0.7500 0.9024
S: 0.6175 0.7500 0.4385
S: 0.6703 0.2500 0.7140
S: 0.8297 0.7500 0.2140
S: 0.8825 0.2500 0.9385

Summary:
- Total moment: 0.53 μB/f.u.
- Space-group type: No. 62
- Energy: -138.2 eV for the cell shown
- Fermi-level density of states: 2.2 states/eV/f.u.



Compound: BeTlCr2
Source: Alexandria
Functional: PBE
Structure: relaxed

abc: 6.9295 6.9295 6.9295
angles: 26.15 26.15 26.15
Fractional positions:
Be: 0.0000 0.0000 0.0000
Tl: 0.5000 0.5000 0.5000
Cr: 0.2775 0.2775 0.2775
Cr: 0.7225 0.7225 0.7225

Summary:
- Total moment: 0.31 μB/f.u.
- Space-group type: No. 166
- Energy: -22.2 eV for the cell shown
- Fermi-level density of states: 3.1 states/eV/f.u.



Which of these has the highest total moment?
BaTaCr



What is the Fermi-level density of states in the sixth record?
8.9 states/eV/f.u.



Which value of energy does entry 3 give?
-136.0 eV for the cell shown



total moment of number 7 (TbZrS3)?
0.53 μB/f.u.